A plane-wave DFT calculation with PBE+U was carried out for CdFe2F after structural relaxation.

E above lowest polymorph ... 0.000 eV/atom
Electronic total energy ... -28.96 eV/cell

Cell lengths 6.633, 6.633, 5.683 Å; angles 54.29, 54.29, 90.00 degrees
Sites, in units of the cell vectors:
F1 0.500 0.500 0.000
F2 0.250 0.750 0.500
Cd1 0.750 0.250 0.500
Cd2 0.000 0.000 0.000
Fe1 0.375 0.456 0.750
Fe2 0.544 0.125 0.250
Fe3 0.206 0.625 0.250
Fe4 0.875 0.794 0.750